Below is a relaxed Sm6As5P crystal, with properties calculated at the PBE-GGA level.

Results
The calculation puts the spin magnetization at 0.0 μB/f.u. The uncorrected energy is -75.380 eV for the cell shown. The calculation puts the formation energy at -1534 meV/atom.

Lattice parameters (Å, degrees): 7.270 7.273 7.270 59.99 80.40 70.52
Atoms (fractional coordinates):
Sm  0.752  0.412  0.671
Sm  0.752  0.753  0.000
Sm  0.752  0.083  0.329
As  0.500  0.500  0.000
As  0.000  0.333  0.333
As  0.500  0.832  0.335
Sm  0.248  0.588  0.329
As  0.500  0.168  0.665
As  0.000  0.667  0.667
P  0.000  0.000  0.000
Sm  0.248  0.247  0.000
Sm  0.248  0.917  0.671